(1)
12
Lattice="-0.560 -0.544 -4.615 4.182 -2.090 -0.198 -2.741 -5.579 0.990" Properties=species:S:1:pos:R:3 comment="TaV2SnO8 PBE with a Hubbard U relaxed" density_g_cm3=6.378 e_tot_ev_per_atom=-8.01 pbc="T T T"
Ta 0.000 0.000 0.000
V -0.246 -5.504 -1.664
V 1.127 -2.709 -2.160
Sn -1.371 -2.790 0.495
O 2.579 -3.111 -0.844
O 2.522 -1.833 -3.348
O -0.265 -2.185 -3.497
O -1.698 -5.102 -2.980
O -1.641 -6.380 -0.476
O 1.146 -6.028 -0.326
O 1.121 -4.601 -2.813
O -0.240 -3.612 -1.010

(2)
18
Lattice="5.189 0.000 0.000 -2.594 4.494 0.000 0.000 0.000 10.315" Properties=species:S:1:pos:R:3 comment="TaVSnO6 PBE with a Hubbard U relaxed" density_g_cm3=6.167 e_tot_ev_per_atom=-7.96 pbc="T T T"
Ta 0.000 2.996 2.579
Ta 2.594 1.498 7.736
V 2.594 1.498 2.579
V 0.000 2.996 7.736
Sn 0.000 0.000 0.000
Sn 0.000 0.000 5.157
O 1.666 2.776 1.494
O 4.166 1.663 1.494
O -0.643 4.439 6.652
O -1.572 2.831 8.820
O 1.023 1.663 3.663
O 3.523 2.776 3.663
O 0.643 4.439 8.820
O 3.237 0.054 3.663
O -0.929 1.717 6.652
O 1.952 0.054 1.494
O 1.572 2.831 6.652
O 0.929 1.717 8.820